[1]
Computed, not measured: crystalline InRu2W at its relaxed geometry at the PBE level of DFT.

POSCAR file:
```
InRu2W
1.0
-5.080 -1.626 -0.227
-2.161 -2.390 4.257
2.416 4.416 -1.779
Ru W In
2 1 1
Cartesian
-0.027 -0.015 0.015
-3.029 0.454 -0.059
-3.692 -2.048 2.055
-1.697 0.001 2.255
```

Output
calculated density = 12.939 g/cm3
space group = No. 44
VASP energy = -33.26 eV per formula unit
size of the total moment = 0.000 Bohr magnetons per cell
E_form = 1.0 eV/f.u.

[2]
Computed, not measured: crystalline In4RuW at its relaxed geometry at the PBE level of DFT.

POSCAR file:
```
In4RuW
1.0
0.000 3.959 3.959
3.959 0.000 3.959
3.959 3.959 0.000
In W Ru
4 1 1
Cartesian
2.969 2.969 2.969
2.969 4.948 4.948
4.948 2.969 4.948
4.948 4.948 2.969
0.000 0.000 0.000
5.938 5.938 5.938
```

Output
calculated density = 9.959 g/cm3
space group = No. 216
VASP energy = -26.26 eV per formula unit
size of the total moment = 3.220 Bohr magnetons per cell
E_form = 6.9 eV/f.u.

[3]
Computed, not measured: crystalline InRuW3 at its relaxed geometry at the PBE level of DFT.

POSCAR file:
```
InRuW3
1.0
4.725 0.000 0.000
0.000 4.725 0.000
0.000 0.000 4.725
W Ru In
3 1 1
Cartesian
0.000 0.000 2.363
2.363 0.000 0.000
0.000 2.363 0.000
0.000 0.000 0.000
2.363 2.363 2.363
```

Output
calculated density = 12.078 g/cm3
space group = No. 221
VASP energy = -42.06 eV per formula unit
size of the total moment = 0.000 Bohr magnetons per cell
E_form = 8.8 eV/f.u.

[4]
Computed, not measured: crystalline InRuW2 at its relaxed geometry at the PBE level of DFT.

POSCAR file:
```
InRuW2
1.0
4.219 0.000 0.000
0.000 2.837 0.051
0.000 2.792 5.554
W Ru In
2 1 1
Cartesian
0.000 2.806 2.888
0.000 2.801 5.469
2.109 4.222 4.204
2.109 1.407 1.401
```

Output
calculated density = 14.711 g/cm3
space group = No. 10
VASP energy = -36.56 eV per formula unit
size of the total moment = 0.000 Bohr magnetons per cell
E_form = 1.4 eV/f.u.

[5]
Computed, not measured: crystalline InRuW2 at its relaxed geometry at the PBE level of DFT.

POSCAR file:
```
InRuW2
1.0
2.806 -0.009 0.000
-1.086 2.588 0.000
0.000 0.000 9.287
W In Ru
2 1 1
Cartesian
0.000 0.000 9.127
0.000 0.000 4.803
0.860 1.289 2.322
0.860 1.289 6.965
```

Output
calculated density = 14.388 g/cm3
space group = No. 65
VASP energy = -35.94 eV per formula unit
size of the total moment = 0.000 Bohr magnetons per cell
E_form = 2.0 eV/f.u.

[6]
Computed, not measured: crystalline InRuW at its relaxed geometry at the PBE level of DFT.

POSCAR file:
```
InRuW
1.0
-4.367 2.919 3.127
-6.091 0.498 0.137
5.128 -3.316 -0.272
In W Ru
1 1 1
Cartesian
-10.411 3.401 3.249
-7.163 2.340 2.235
-3.341 1.091 1.043
```

Output
calculated density = 13.019 g/cm3
space group = No. 107
VASP energy = -24.49 eV per formula unit
size of the total moment = 0.000 Bohr magnetons per cell
E_form = 0.5 eV/f.u.

[7]
Computed, not measured: crystalline InRu2W at its relaxed geometry at the PBE level of DFT.

POSCAR file:
```
InRu2W
1.0
-3.256 -1.148 -2.297
-0.716 -1.944 1.987
-3.765 1.794 4.440
Ru W In
2 1 1
Cartesian
-2.832 -0.599 0.570
-3.750 1.782 4.425
-2.122 -0.161 3.088
-5.039 -0.603 3.701
```

Output
calculated density = 12.908 g/cm3
space group = No. 6
VASP energy = -33.22 eV per formula unit
size of the total moment = 0.000 Bohr magnetons per cell
E_form = 1.0 eV/f.u.

[8]
Computed, not measured: crystalline InRuW2 at its relaxed geometry at the PBE level of DFT.

POSCAR file:
```
InRuW2
1.0
-6.877 3.596 5.501
-8.525 2.196 3.602
-7.440 0.799 5.872
In Ru W
1 1 2
Cartesian
-11.356 3.277 7.445
-17.025 4.913 11.162
-0.108 0.031 0.071
-5.774 1.666 3.785
```

Output
calculated density = 14.423 g/cm3
space group = No. 160
VASP energy = -36.49 eV per formula unit
size of the total moment = 0.067 Bohr magnetons per cell
E_form = 1.4 eV/f.u.